No. 1
VASP calculation (PBE-GGA) on an optimized crystal structure of SiNiWN2.

Computed properties:
For the spin magnetization, the calculation gives 0.5 μB per cell. The value obtained for the mass density is 7.5 g cm⁻³. The value obtained for the calculated total energy is -33.3 eV for the cell shown. As for the uncorrected formation energy: 144 kJ/mol of atoms.

```
SiNiWN2
1.0
3.519 0.000 0.000
0.000 5.364 0.000
0.000 0.000 3.519
N Ni Si W
2 1 1 1
direct
0.500 0.000 0.000 N
0.000 0.000 0.500 N
0.000 0.000 0.000 Ni
0.500 0.500 0.500 Si
0.000 0.500 0.000 W
```



No. 2
VASP calculation (PBE-GGA) on an optimized crystal structure of YSiNiN.

Computed properties:
For the spin magnetization, the calculation gives 0.0 μB per cell. The value obtained for the mass density is 5.7 g cm⁻³. The value obtained for the calculated total energy is -60.9 eV for the cell shown. As for the uncorrected formation energy: -108 kJ/mol of atoms.

```
YSiNiN
1.0
-2.413 2.536 -1.041
-2.240 -1.025 2.697
3.576 5.474 5.050
Si Ni Y N
2 2 2 2
direct
0.500 0.000 0.662 Si
0.000 0.500 0.338 Si
0.500 0.500 0.500 Ni
0.000 0.000 0.500 Ni
0.000 0.500 0.847 Y
0.500 0.000 0.153 Y
0.000 0.500 0.125 N
0.500 0.000 0.875 N
```



No. 3
VASP calculation (PBE-GGA) on an optimized crystal structure of Sm6Ni2N.

Computed properties:
For the spin magnetization, the calculation gives 0.0 μB per cell. The value obtained for the mass density is 7.8 g cm⁻³. The value obtained for the calculated total energy is -105.1 eV for the cell shown. As for the uncorrected formation energy: -47 kJ/mol of atoms.

```
Sm6Ni2N
1.0
-4.480 -0.768 4.580
3.592 -5.415 2.605
4.839 6.076 5.959
Sm N Ni
12 2 4
direct
0.871 0.960 0.739 Sm
0.313 0.825 0.563 Sm
0.673 0.190 0.064 Sm
0.173 0.310 0.564 Sm
0.687 0.175 0.437 Sm
0.327 0.810 0.936 Sm
0.371 0.540 0.239 Sm
0.827 0.690 0.436 Sm
0.629 0.460 0.761 Sm
0.129 0.040 0.261 Sm
0.187 0.325 0.937 Sm
0.813 0.675 0.063 Sm
0.000 0.000 0.500 N
0.500 0.500 0.000 N
0.451 0.098 0.745 Ni
0.549 0.902 0.255 Ni
0.049 0.598 0.755 Ni
0.951 0.402 0.245 Ni
```



> Which of these has the lowest mass density?

YSiNiN



> What is the calculated total energy in the second record?

-60.9 eV for the cell shown



> Among the records above, which one has the highest spin magnetization?

SiNiWN2



> What is the formula in the first record?

SiNiWN2